Record 1
A plane-wave DFT calculation with GGA-PBEsol was carried out for an optimized crystal structure of Ni3Os.

## Properties
density: 13.12 g cm⁻³
electronic total energy: -7.410 eV per atom
V: 11.59 Å³ per atom

Lattice parameters (Å, degrees): 2.5696 4.2484 4.2484 90.00 90.00 90.00
With the nearest neighbours (Å) after each atom.
Fractional coordinates of all 4 atoms:
Ni1 0.0000 0.5000 0.0000  6 Ni 2.48-2.57, 4 Os 2.48
Ni2 0.0000 0.0000 0.5000  6 Ni 2.48-2.57, 4 Os 2.48
Ni3 0.5000 0.5000 0.5000  10 Ni 2.48-2.57
Os1 0.5000 0.0000 0.0000  8 Ni 2.48, 2 Os 2.57


Record 2
A plane-wave DFT calculation with GGA-PBEsol was carried out for an optimized crystal structure of Ni3Os.

## Properties
density: 13.42 g cm⁻³
electronic total energy: -7.585 eV per atom
V: 11.33 Å³ per atom

Lattice parameters (Å, degrees): 2.5421 3.5856 4.9721 90.00 90.00 90.00
With the nearest neighbours (Å) after each atom.
Fractional coordinates of all 4 atoms:
Ni1 0.0000 0.0000 0.7488  8 Ni 2.47-2.54, 4 Os 2.53
Ni2 0.5000 0.5000 0.5000  2 Os 2.49, 10 Ni 2.52-2.54
Ni3 0.0000 0.0000 0.2512  8 Ni 2.47-2.54, 4 Os 2.53
Os1 0.5000 0.5000 0.0000  10 Ni 2.49-2.53, 2 Os 2.54


Record 3
A plane-wave DFT calculation with GGA-PBEsol was carried out for an optimized crystal structure of Ni3Os.

## Properties
density: 13.40 g cm⁻³
electronic total energy: -7.590 eV per atom
V: 11.35 Å³ per atom

Lattice parameters (Å, degrees): 4.3956 5.0581 8.1673 90.00 90.00 90.00
With the nearest neighbours (Å) after each atom.
Fractional coordinates of all 16 atoms:
Ni1 0.2515 0.6184 0.5003  9 Ni 2.49-2.57, 3 Os 2.49-2.54
Ni2 0.7515 0.8816 0.5003  9 Ni 2.49-2.57, 3 Os 2.49-2.54
Ni3 0.2515 0.6184 0.9997  9 Ni 2.49-2.57, 3 Os 2.49-2.54
Ni4 0.5847 0.1364 0.7500  4 Os 2.46-2.59, 8 Ni 2.48-2.52
Ni5 0.4153 0.8636 0.2500  4 Os 2.46-2.59, 8 Ni 2.48-2.52
Ni6 0.0847 0.3636 0.7500  4 Os 2.46-2.59, 8 Ni 2.48-2.52
Ni7 0.7485 0.3816 0.0003  9 Ni 2.49-2.57, 3 Os 2.49-2.54
Ni8 0.7485 0.3816 0.4997  9 Ni 2.49-2.57, 3 Os 2.49-2.54
Ni9 0.7515 0.8816 0.9997  9 Ni 2.49-2.57, 3 Os 2.49-2.54
Ni10 0.2485 0.1184 0.4997  9 Ni 2.49-2.57, 3 Os 2.49-2.54
Ni11 0.9153 0.6364 0.2500  4 Os 2.46-2.59, 8 Ni 2.48-2.52
Ni12 0.2485 0.1184 0.0003  9 Ni 2.49-2.57, 3 Os 2.49-2.54
Os1 0.9198 0.1236 0.2500  10 Ni 2.46-2.59, 2 Os 2.54
Os2 0.4198 0.3764 0.2500  10 Ni 2.46-2.59, 2 Os 2.54
Os3 0.5802 0.6236 0.7500  10 Ni 2.46-2.59, 2 Os 2.54
Os4 0.0802 0.8764 0.7500  10 Ni 2.46-2.59, 2 Os 2.54


Record 4
A plane-wave DFT calculation with GGA-PBEsol was carried out for an optimized crystal structure of NiOs5.

## Properties
density: 20.73 g cm⁻³
electronic total energy: -11.143 eV per atom
V: 13.48 Å³ per atom

Lattice parameters (Å, degrees): 2.7167 4.2737 7.0983 90.00 101.03 90.00
With the nearest neighbours (Å) after each atom.
Fractional coordinates of all 6 atoms:
Ni1 0.9992 0.0000 0.9984  10 Os 2.62-2.70, 2 Ni 2.72
Os1 0.6664 0.0000 0.3328  10 Os 2.64-2.72, 2 Ni 2.70
Os2 0.4468 0.5000 0.8936  8 Os 2.63-2.72, 4 Ni 2.64
Os3 0.1080 0.5000 0.2161  2 Ni 2.62, 10 Os 2.63-2.73
Os4 0.7783 0.5000 0.5565  12 Os 2.64-2.73
Os5 0.3346 0.0000 0.6692  10 Os 2.65-2.72, 2 Ni 2.67


Record 5
A plane-wave DFT calculation with GGA-PBEsol was carried out for an optimized crystal structure of Ni3Os.

## Properties
density: 13.44 g cm⁻³
electronic total energy: -7.609 eV per atom
V: 11.31 Å³ per atom

Lattice parameters (Å, degrees): 3.5686 5.0364 5.0364 90.18 90.00 90.00
With the nearest neighbours (Å) after each atom.
Fractional coordinates of all 8 atoms:
Os1 0.2500 0.6241 0.3759  10 Ni 2.49-2.55, 2 Os 2.51
Os2 0.7500 0.3759 0.6241  10 Ni 2.49-2.55, 2 Os 2.51
Ni1 0.7500 0.8784 0.1216  10 Ni 2.49-2.54, 2 Os 2.54
Ni2 0.2500 0.6250 0.8817  4 Os 2.49-2.55, 8 Ni 2.49-2.56
Ni3 0.7500 0.8817 0.6250  4 Os 2.49-2.55, 8 Ni 2.49-2.56
Ni4 0.2500 0.1183 0.3750  4 Os 2.49-2.55, 8 Ni 2.49-2.56
Ni5 0.7500 0.3750 0.1183  4 Os 2.49-2.55, 8 Ni 2.49-2.56
Ni6 0.2500 0.1216 0.8784  10 Ni 2.49-2.54, 2 Os 2.54


Record 6
A plane-wave DFT calculation with GGA-PBEsol was carried out for an optimized crystal structure of Ni5Os.

## Properties
energy above the most stable polymorph in this dataset: 5 meV per atom
density: 12.10 g cm⁻³
V: 11.07 Å³ per atom

Lattice parameters (Å, degrees): 2.5222 4.0615 6.6028 90.00 101.01 90.00
With the nearest neighbours (Å) after each atom.
Fractional coordinates of all 6 atoms:
Ni1 0.9977 0.0000 0.9953  10 Ni 2.46-2.57, 2 Os 2.50
Ni2 0.7793 0.5000 0.5587  10 Ni 2.46-2.52, 2 Os 2.53
Ni3 0.3343 0.0000 0.6686  12 Ni 2.46-2.52
Ni4 0.6703 0.0000 0.3406  8 Ni 2.47-2.57, 4 Os 2.52
Ni5 0.4420 0.5000 0.8839  10 Ni 2.46-2.52, 2 Os 2.51
Os1 0.1098 0.5000 0.2196  10 Ni 2.50-2.53, 2 Os 2.52


Record 7
A plane-wave DFT calculation with GGA-PBEsol was carried out for an optimized crystal structure of Ni5Os.

## Properties
energy above the most stable polymorph in this dataset: 0 meV per atom
density: 12.13 g cm⁻³
V: 11.04 Å³ per atom

Lattice parameters (Å, degrees): 2.5380 4.7634 5.8870 104.59 90.00 105.45
With the nearest neighbours (Å) after each atom.
Fractional coordinates of all 6 atoms:
Ni1 0.3327 0.6655 0.6647  10 Ni 2.46-2.54, 2 Os 2.50
Ni2 0.0547 0.1093 0.6066  10 Ni 2.46-2.54, 2 Os 2.51
Ni3 0.9994 0.9988 0.0020  9 Ni 2.48-2.54, 3 Os 2.49
Ni4 0.3901 0.7801 0.2799  10 Ni 2.46-2.54, 2 Os 2.51
Ni5 0.6689 0.3378 0.3358  11 Ni 2.47-2.54, 1 Os 2.47
Os1 0.7209 0.4418 0.9443  10 Ni 2.47-2.51, 2 Os 2.54


Record 8
A plane-wave DFT calculation with GGA-PBEsol was carried out for an optimized crystal structure of Ni3Os.

## Properties
density: 13.46 g cm⁻³
electronic total energy: -7.464 eV per atom
V: 11.30 Å³ per atom

Lattice parameters (Å, degrees): 3.5617 3.5617 3.5617 90.00 90.00 90.00
With the nearest neighbours (Å) after each atom.
Fractional coordinates of all 4 atoms:
Ni1 0.0000 0.0000 0.5000  8 Ni 2.52, 4 Os 2.52
Ni2 0.5000 0.0000 0.0000  8 Ni 2.52, 4 Os 2.52
Ni3 0.0000 0.5000 0.0000  4 Os 2.52, 8 Ni 2.52
Os1 0.5000 0.5000 0.5000  12 Ni 2.52


Record 9
A plane-wave DFT calculation with GGA-PBEsol was carried out for an optimized crystal structure of Ni3Os.

## Properties
density: 13.42 g cm⁻³
electronic total energy: -7.597 eV per atom
V: 11.33 Å³ per atom

Lattice parameters (Å, degrees): 2.5403 4.3377 4.3642 99.24 89.99 107.04
With the nearest neighbours (Å) after each atom.
Fractional coordinates of all 4 atoms:
Ni1 0.7499 0.5000 0.7506  3 Os 2.50-2.52, 9 Ni 2.50-2.54
Ni2 0.2502 0.5000 0.2494  3 Os 2.50-2.52, 9 Ni 2.50-2.54
Ni3 0.0000 0.0000 0.5000  8 Ni 2.50-2.54, 4 Os 2.52
Os1 0.5000 0.0000 0.0000  10 Ni 2.50-2.52, 2 Os 2.54


Record 10
A plane-wave DFT calculation with GGA-PBEsol was carried out for an optimized crystal structure of Ni3Os.

## Properties
density: 13.42 g cm⁻³
electronic total energy: -7.576 eV per atom
V: 11.33 Å³ per atom

Lattice parameters (Å, degrees): 2.5723 2.5723 6.8517 90.00 90.00 90.00
With the nearest neighbours (Å) after each atom.
Fractional coordinates of all 4 atoms:
Ni1 0.0000 0.0000 0.2410  8 Ni 2.46-2.57, 4 Os 2.54
Ni2 0.5000 0.5000 0.0000  12 Ni 2.46-2.57
Ni3 0.0000 0.0000 0.7590  8 Ni 2.46-2.57, 4 Os 2.54
Os1 0.5000 0.5000 0.5000  8 Ni 2.54, 4 Os 2.57


Record 11
A plane-wave DFT calculation with GGA-PBEsol was carried out for an optimized crystal structure of NiPOs2.

## Properties
energy above the most stable polymorph in this dataset: 6 meV per atom
density: 14.89 g cm⁻³
V: 13.10 Å³ per atom

Lattice parameters (Å, degrees): 2.7618 3.8747 5.4451 110.84 104.69 90.00
With the nearest neighbours (Å) after each atom.
Fractional coordinates of all 4 atoms:
Ni1 0.0000 0.5000 0.0000  4 P 2.38
P1 0.5000 0.0000 0.0000  4 Os 2.35, 4 Ni 2.38
Os1 0.1941 0.1941 0.3882  2 P 2.35, 4 Os 2.62
Os2 0.8059 0.8059 0.6118  2 P 2.35, 4 Os 2.62


Record 12
A plane-wave DFT calculation with GGA-PBEsol was carried out for an optimized crystal structure of NiPOs2.

## Properties
energy above the most stable polymorph in this dataset: 403 meV per atom
density: 15.00 g cm⁻³
V: 13.01 Å³ per atom

Lattice parameters (Å, degrees): 2.7359 4.6346 4.8747 117.23 104.51 93.64
With the nearest neighbours (Å) after each atom.
Fractional coordinates of all 4 atoms:
Ni1 0.5000 0.0000 0.0000  4 Os 2.48, 4 P 2.62-2.76, 2 Ni 2.74
Os1 0.5000 0.5000 0.5000  2 P 2.48, 2 Ni 2.48, 6 Os 2.62-2.76
Os2 0.0000 0.0000 0.5000  2 Ni 2.48, 2 P 2.48, 6 Os 2.62-2.76
P1 0.0000 0.5000 0.0000  4 Os 2.48, 4 Ni 2.62-2.76, 2 P 2.74


Record 13
A plane-wave DFT calculation with GGA-PBEsol was carried out for an optimized crystal structure of NiPOs2.

## Properties
energy above the most stable polymorph in this dataset: 146 meV per atom
density: 15.28 g cm⁻³
V: 12.77 Å³ per atom

Lattice parameters (Å, degrees): 2.7576 3.5700 5.1891 90.00 90.00 90.00
With the nearest neighbours (Å) after each atom.
Fractional coordinates of all 4 atoms:
Os1 0.0000 0.0000 0.9892  1 P 2.35, 4 Os 2.60, 4 Ni 2.61
Os2 0.5000 0.5000 0.2394  2 Ni 2.58-2.61, 6 Os 2.60-2.76, 4 P 2.73
Ni1 0.5000 0.5000 0.7356  4 P 2.48, 6 Os 2.58-2.61, 2 Ni 2.76
P1 0.0000 0.0000 0.5358  1 Os 2.35, 4 Ni 2.48


Record 14
A plane-wave DFT calculation with GGA-PBEsol was carried out for an optimized crystal structure of NiPOs2.

## Properties
energy above the most stable polymorph in this dataset: 0 meV per atom
density: 15.81 g cm⁻³
V: 12.35 Å³ per atom

Lattice parameters (Å, degrees): 2.8202 2.8202 6.2105 90.00 90.00 90.00
With the nearest neighbours (Å) after each atom.
Fractional coordinates of all 4 atoms:
Ni1 0.5000 0.5000 0.7056  4 P 2.28
Os1 0.5000 0.5000 0.2752  4 P 2.54, 8 Os 2.67-2.82, 1 Ni 2.67
Os2 0.0000 0.0000 0.9903  4 Ni 2.66, 8 Os 2.67-2.82, 1 P 2.86
P1 0.0000 0.0000 0.5290  4 Ni 2.28, 4 Os 2.54


Record 15
A plane-wave DFT calculation with GGA-PBEsol was carried out for an optimized crystal structure of NiP2Os.

## Properties
density: 10.48 g cm⁻³
electronic total energy: -7.306 eV per atom
V: 12.32 Å³ per atom

Lattice parameters (Å, degrees): 3.4902 3.4902 4.7388 111.61 111.61 90.00
With the nearest neighbours (Å) after each atom.
Fractional coordinates of all 4 atoms:
P1 0.0000 0.0000 0.0000  4 Ni 2.47, 4 P 2.67, 4 Os 2.67
P2 0.7500 0.2500 0.5000  4 Os 2.47, 4 P 2.67, 4 Ni 2.67
Os1 0.2500 0.7500 0.5000  8 P 2.47-2.67, 4 Ni 2.67
Ni1 0.5000 0.5000 0.0000  8 P 2.47-2.67, 4 Os 2.67


Record 16
A plane-wave DFT calculation with GGA-PBEsol was carried out for an optimized crystal structure of NiPOs2.

## Properties
energy above the most stable polymorph in this dataset: 467 meV per atom
density: 14.96 g cm⁻³
V: 13.05 Å³ per atom

Lattice parameters (Å, degrees): 4.1949 4.1949 4.1949 60.00 60.00 60.00
With the nearest neighbours (Å) after each atom.
Fractional coordinates of all 4 atoms:
Os1 0.0000 0.0000 0.0000  4 P 2.57, 4 Os 2.57
Os2 0.7500 0.7500 0.7500  4 Os 2.57, 4 Ni 2.57
Ni1 0.5000 0.5000 0.5000  4 Os 2.57, 4 P 2.57
P1 0.2500 0.2500 0.2500  4 Ni 2.57, 4 Os 2.57


Record 17
A plane-wave DFT calculation with GGA-PBEsol was carried out for an optimized crystal structure of NiOsPb3.

## Properties
density: 10.39 g cm⁻³
electronic total energy: -5.045 eV per atom
V: 27.82 Å³ per atom

Lattice parameters (Å, degrees): 5.1812 5.1812 5.1812 90.00 90.00 90.00
With the nearest neighbours (Å) after each atom.
Fractional coordinates of all 5 atoms:
Pb1 0.0000 0.5000 0.0000  2 Os 2.59
Pb2 0.0000 0.0000 0.5000  2 Os 2.59
Pb3 0.5000 0.0000 0.0000  2 Os 2.59
Ni1 0.5000 0.5000 0.5000  12 Pb 3.66
Os1 0.0000 0.0000 0.0000  6 Pb 2.59


Record 18
A plane-wave DFT calculation with GGA-PBEsol was carried out for an optimized crystal structure of NiOsPb2.

## Properties
energy above the most stable polymorph in this dataset: 40 meV per atom
density: 15.36 g cm⁻³
V: 17.93 Å³ per atom

Lattice parameters (Å, degrees): 3.3104 3.3082 6.5570 90.00 87.16 90.00
With the nearest neighbours (Å) after each atom.
Fractional coordinates of all 4 atoms:
Pb1 0.0168 0.0000 0.2437  4 Ni 2.76-2.91, 4 Os 2.86-2.90
Pb2 0.9832 0.0000 0.7563  4 Ni 2.76-2.91, 4 Os 2.86-2.90
Os1 0.5000 0.5000 0.5000  8 Pb 2.86-2.90
Ni1 0.5000 0.5000 0.0000  8 Pb 2.76-2.91


Record 19
A plane-wave DFT calculation with GGA-PBEsol was carried out for an optimized crystal structure of NiOsPb2.

## Properties
energy above the most stable polymorph in this dataset: 0 meV per atom
density: 14.38 g cm⁻³
V: 19.15 Å³ per atom

Lattice parameters (Å, degrees): 3.0798 4.2589 6.4028 109.43 103.92 90.00
With the nearest neighbours (Å) after each atom.
Fractional coordinates of all 4 atoms:
Pb1 0.2108 0.7108 0.4215  4 Os 2.90, 2 Ni 2.94, 2 Pb 3.08
Pb2 0.9758 0.9758 0.9516  4 Ni 2.64, 2 Os 2.83
Ni1 0.4967 0.4967 0.9934  2 Os 2.60, 4 Pb 2.64
Os1 0.8168 0.3168 0.6335  2 Ni 2.60, 6 Pb 2.83-2.90


Record 20
A plane-wave DFT calculation with GGA-PBEsol was carried out for an optimized crystal structure of ZnNiOsPd2.

## Properties
density: 8.77 g cm⁻³
electronic total energy: -4.944 eV per atom
V: 19.97 Å³ per atom

Lattice parameters (Å, degrees): 4.3994 4.7645 4.7645 90.00 90.00 90.00
With the nearest neighbours (Å) after each atom.
Fractional coordinates of all 5 atoms:
Pd1 0.0000 0.0000 0.5000  2 Os 2.38
Pd2 0.0000 0.5000 0.0000  2 Os 2.38
Os1 0.0000 0.0000 0.0000  2 Ni 2.20, 4 Pd 2.38
Zn1 0.5000 0.5000 0.5000  8 Pd 3.24, 4 Ni 3.37
Ni1 0.5000 0.0000 0.0000  2 Os 2.20